# PBE Ac3RuCl3, relaxed
# size of the total moment: 0.00 μB/atom
# polymorph energy (0 for the lowest one): 0.000 eV per atom
# formation energy without anion corrections: -10.36 eV per formula unit
data_Ac3RuCl3
_chemical_formula_sum 'Ac6 Ru2 Cl6'
_space_group_name_H-M_alt 'P 1 21/m 1'
_space_group_IT_number 11
_cell_length_a 9.343
_cell_length_b 4.430
_cell_length_c 12.523
_cell_angle_alpha 90.00
_cell_angle_beta 94.14
_cell_angle_gamma 90.00
loop_
_space_group_symop_operation_xyz
'x,y,z'
'-x,-y,-z'
'-x,y+1/2,-z'
'x,-y+1/2,z'
loop_
_atom_site_label
_atom_site_type_symbol
_atom_site_fract_x
_atom_site_fract_y
_atom_site_fract_z
Ac1 Ac 0.096 0.250 0.389
Ac2 Ac 0.136 0.250 0.850
Ac3 Ac 0.336 0.750 0.624
Ru1 Ru 0.121 0.250 0.628
Cl1 Cl 0.079 0.250 0.110
Cl2 Cl 0.354 0.750 0.872
Cl3 Cl 0.396 0.750 0.383

=====

# PBE Ac3RuCl3, relaxed
# size of the total moment: 0.00 μB/atom
# polymorph energy (0 for the lowest one): 0.246 eV per atom
# formation energy without anion corrections: -8.64 eV per formula unit
data_Ac3RuCl3
_chemical_formula_sum 'Ac12 Ru4 Cl12'
_space_group_name_H-M_alt 'C 1 2/m 1'
_space_group_IT_number 12
_cell_length_a 9.860
_cell_length_b 15.200
_cell_length_c 7.439
_cell_angle_alpha 90.00
_cell_angle_beta 115.85
_cell_angle_gamma 90.00
loop_
_space_group_symop_operation_xyz
'x,y,z'
'-x,-y,-z'
'-x,y,-z'
'x,-y,z'
'x+1/2,y+1/2,z'
'-x+1/2,-y+1/2,-z'
'-x+1/2,y+1/2,-z'
'x+1/2,-y+1/2,z'
loop_
_atom_site_label
_atom_site_type_symbol
_atom_site_fract_x
_atom_site_fract_y
_atom_site_fract_z
Ac1 Ac 0.203 0.000 0.162
Ac2 Ac 0.219 0.132 0.672
Ru1 Ru 0.028 0.000 0.713
Cl1 Cl 0.000 0.280 0.500
Cl2 Cl 0.000 0.293 0.000
Cl3 Cl 0.053 0.500 0.300

=====

# PBE Ac4RuCl5, relaxed
# size of the total moment: 0.00 μB/atom
# formation energy without anion corrections: -16.44 eV per formula unit
data_Ac4RuCl5
_chemical_formula_sum 'Ac8 Ru2 Cl10'
_space_group_name_H-M_alt 'C 1 2/m 1'
_space_group_IT_number 12
_cell_length_a 19.567
_cell_length_b 4.317
_cell_length_c 9.011
_cell_angle_alpha 90.00
_cell_angle_beta 109.42
_cell_angle_gamma 90.00
loop_
_space_group_symop_operation_xyz
'x,y,z'
'-x,-y,-z'
'-x,y,-z'
'x,-y,z'
'x+1/2,y+1/2,z'
'-x+1/2,-y+1/2,-z'
'-x+1/2,y+1/2,-z'
'x+1/2,-y+1/2,z'
loop_
_atom_site_label
_atom_site_type_symbol
_atom_site_fract_x
_atom_site_fract_y
_atom_site_fract_z
Ac1 Ac 0.003 0.000 0.279
Ac2 Ac 0.159 0.500 0.628
Ru1 Ru 0.000 0.500 0.500
Cl1 Cl 0.000 0.500 0.000
Cl2 Cl 0.168 0.000 0.867
Cl3 Cl 0.175 0.000 0.394

=====

# PBE Ac6Ru2SCl3, relaxed
# size of the total moment: 0.00 μB/atom
# formation energy without anion corrections: -14.61 eV per formula unit
data_Ac6Ru2SCl3
_chemical_formula_sum 'Ac12 Ru4 S2 Cl6'
_space_group_name_H-M_alt 'C 1 2/m 1'
_space_group_IT_number 12
_cell_length_a 7.519
_cell_length_b 13.066
_cell_length_c 8.300
_cell_angle_alpha 90.00
_cell_angle_beta 107.24
_cell_angle_gamma 90.00
loop_
_space_group_symop_operation_xyz
'x,y,z'
'-x,-y,-z'
'-x,y,-z'
'x,-y,z'
'x+1/2,y+1/2,z'
'-x+1/2,-y+1/2,-z'
'-x+1/2,y+1/2,-z'
'x+1/2,-y+1/2,z'
loop_
_atom_site_label
_atom_site_type_symbol
_atom_site_fract_x
_atom_site_fract_y
_atom_site_fract_z
Ac1 Ac 0.217 0.000 0.205
Ac2 Ac 0.243 0.325 0.205
Ru1 Ru 0.000 0.166 0.000
S1 S 0.000 0.500 0.000
Cl1 Cl 0.000 0.000 0.500
Cl2 Cl 0.000 0.326 0.500

=====

# PBE Ac8Ru3SCl4, relaxed
# size of the total moment: 0.00 μB/atom
# formation energy without anion corrections: -18.11 eV per formula unit
data_Ac8Ru3SCl4
_chemical_formula_sum 'Ac16 Ru6 S2 Cl8'
_space_group_name_H-M_alt 'C 1 2/m 1'
_space_group_IT_number 12
_cell_length_a 15.038
_cell_length_b 8.683
_cell_length_c 9.376
_cell_angle_alpha 90.00
_cell_angle_beta 122.37
_cell_angle_gamma 90.00
loop_
_space_group_symop_operation_xyz
'x,y,z'
'-x,-y,-z'
'-x,y,-z'
'x,-y,z'
'x+1/2,y+1/2,z'
'-x+1/2,-y+1/2,-z'
'-x+1/2,y+1/2,-z'
'x+1/2,-y+1/2,z'
loop_
_atom_site_label
_atom_site_type_symbol
_atom_site_fract_x
_atom_site_fract_y
_atom_site_fract_z
Ac1 Ac 0.020 0.239 0.298
Ac2 Ac 0.237 0.000 0.710
Ac3 Ac 0.241 0.500 0.702
Ru1 Ru 0.000 0.000 0.500
Ru2 Ru 0.250 0.250 0.500
S1 S 0.000 0.500 0.500
Cl1 Cl 0.000 0.000 0.000
Cl2 Cl 0.000 0.500 0.000
Cl3 Cl 0.250 0.250 0.000

=====

# PBE Ac3RuSeCl, relaxed
# size of the total moment: 0.00 μB/atom
# formation energy without anion corrections: -7.27 eV per formula unit
data_Ac3RuSeCl
_chemical_formula_sum 'Ac6 Ru2 Se2 Cl2'
_space_group_name_H-M_alt 'P 1 21/m 1'
_space_group_IT_number 11
_cell_length_a 8.203
_cell_length_b 4.442
_cell_length_c 11.152
_cell_angle_alpha 90.00
_cell_angle_beta 96.64
_cell_angle_gamma 90.00
loop_
_space_group_symop_operation_xyz
'x,y,z'
'-x,-y,-z'
'-x,y+1/2,-z'
'x,-y+1/2,z'
loop_
_atom_site_label
_atom_site_type_symbol
_atom_site_fract_x
_atom_site_fract_y
_atom_site_fract_z
Ac1 Ac 0.026 0.250 0.197
Ac2 Ac 0.212 0.750 0.501
Ac3 Ac 0.408 0.250 0.796
Ru1 Ru 0.097 0.250 0.670
Se1 Se 0.406 0.250 0.329
Cl1 Cl 0.312 0.750 0.973

=====

# PBE Ac6Si2RuCl3, relaxed
# size of the total moment: 0.00 μB/atom
# formation energy without anion corrections: -12.77 eV per formula unit
data_Ac6Si2RuCl3
_chemical_formula_sum 'Ac12 Si4 Ru2 Cl6'
_space_group_name_H-M_alt 'C 1 2/m 1'
_space_group_IT_number 12
_cell_length_a 19.517
_cell_length_b 4.432
_cell_length_c 9.239
_cell_angle_alpha 90.00
_cell_angle_beta 103.18
_cell_angle_gamma 90.00
loop_
_space_group_symop_operation_xyz
'x,y,z'
'-x,-y,-z'
'-x,y,-z'
'x,-y,z'
'x+1/2,y+1/2,z'
'-x+1/2,-y+1/2,-z'
'-x+1/2,y+1/2,-z'
'x+1/2,-y+1/2,z'
loop_
_atom_site_label
_atom_site_type_symbol
_atom_site_fract_x
_atom_site_fract_y
_atom_site_fract_z
Ac1 Ac 0.001 0.000 0.223
Ac2 Ac 0.151 0.500 0.098
Ac3 Ac 0.173 0.500 0.574
Si1 Si 0.163 0.000 0.339
Ru1 Ru 0.000 0.500 0.000
Cl1 Cl 0.000 0.500 0.500
Cl2 Cl 0.177 0.000 0.843

=====

# PBE Ac4SiRuCl2, relaxed
# size of the total moment: 0.00 μB/atom
# formation energy without anion corrections: -8.20 eV per formula unit
data_Ac4SiRuCl2
_chemical_formula_sum 'Ac4 Si1 Ru1 Cl2'
_space_group_name_H-M_alt 'P 1 2/m 1'
_space_group_IT_number 10
_cell_length_a 7.840
_cell_length_b 4.363
_cell_length_c 8.043
_cell_angle_alpha 90.00
_cell_angle_beta 106.83
_cell_angle_gamma 90.00
loop_
_space_group_symop_operation_xyz
'x,y,z'
'-x,-y,-z'
'-x,y,-z'
'x,-y,z'
loop_
_atom_site_label
_atom_site_type_symbol
_atom_site_fract_x
_atom_site_fract_y
_atom_site_fract_z
Ac1 Ac 0.224 0.000 0.210
Ac2 Ac 0.245 0.500 0.793
Si1 Si 0.500 0.000 0.000
Ru1 Ru 0.000 0.500 0.000
Cl1 Cl 0.000 0.000 0.500
Cl2 Cl 0.500 0.500 0.500

=====

What ρ values result from the calculations? In sequence: 5.71; 5.88; 5.49; 7.26; 7.37; 7.38; 6.94; 6.99 g/cm3.